! BiICl2 | Alexandria | PBE-GGA | relaxed; values from VASP
! * excess energy over the best structure of this formula in the dataset: 0.0062 eV/atom
! * size of the total moment: 0.00 μB per cell
! * VASP energy: -12.24 eV per cell
! * volume: 161.9 Å³/cell
&SYSTEM
  ibrav = 0, nat = 4, ntyp = 3
/
ATOMIC_SPECIES
Bi 208.98 Bi.upf
I 126.90 I.upf
Cl 35.45 Cl.upf
CELL_PARAMETERS angstrom
-0.431 -4.004 -1.278
4.028 -1.496 3.330
-6.479 1.618 4.127
ATOMIC_POSITIONS crystal
Bi 0.275 0.107 0.214
I 0.935 0.266 0.531
Cl 0.647 0.979 0.959
Cl 0.258 0.590 0.179